1.
Density functional theory data (PBE) for Re2SCl after structural relaxation.

Results
Size of the total moment in μB per atom: 0.0000
ΔE_f (raw) in meV/atom: 941
SG: I-42d

Cell lengths 5.2434, 5.2434, 6.4628 Å; angles 66.07, 66.07, 90.00 degrees
Element x y z (fractional)
1 Re 0.6132 0.1250 0.2500
2 Re 0.1368 0.6250 0.2500
3 Re 0.3750 0.3868 0.7500
4 Re 0.8750 0.8632 0.7500
5 S 0.5000 0.5000 0.0000
6 S 0.2500 0.7500 0.5000
7 Cl 0.0000 0.0000 0.0000
8 Cl 0.7500 0.2500 0.5000


2.
Density functional theory data (PBE) for ReSCl2 after structural relaxation.

Results
Size of the total moment in μB per atom: 0.0000
ΔE_f (raw) in meV/atom: 1342
SG: Fm-3m

Cell lengths 4.4803, 4.4803, 4.4803 Å; angles 60.00, 60.00, 60.00 degrees
Element x y z (fractional)
1 Re 0.5000 0.5000 0.5000
2 S 0.0000 0.0000 0.0000
3 Cl 0.2500 0.2500 0.2500
4 Cl 0.7500 0.7500 0.7500


3.
Density functional theory data (PBE) for ReSCl after structural relaxation.

Results
Size of the total moment in μB per atom: 0.0000
ΔE_f (raw) in meV/atom: -321
SG: P2_1/m

Cell lengths 3.4054, 7.8568, 6.7844 Å; angles 62.45, 90.00, 90.01 degrees
Element x y z (fractional)
1 Re 0.7500 0.1045 0.8354
2 Re 0.2500 0.8955 0.1646
3 S 0.7499 0.7763 0.0344
4 S 0.2501 0.2237 0.9656
5 Cl 0.7500 0.2540 0.4581
6 Cl 0.2500 0.7460 0.5419


4.
Density functional theory data (PBE) for ReSCl2 after structural relaxation.

Results
Size of the total moment in μB per atom: 0.0000
ΔE_f (raw) in meV/atom: 591
SG: R-3m

Cell lengths 10.2743, 10.2743, 10.2743 Å; angles 16.78, 16.78, 16.78 degrees
Element x y z (fractional)
1 Re 0.5000 0.5000 0.5000
2 S 0.0000 0.0000 0.0000
3 Cl 0.8920 0.8920 0.8920
4 Cl 0.1080 0.1080 0.1080


5.
Density functional theory data (PBE) for ReSCl2 after structural relaxation.

Results
Size of the total moment in μB per atom: 0.0000
ΔE_f (raw) in meV/atom: -278
SG: P1

Cell lengths 4.5459, 3.1578, 8.0424 Å; angles 80.78, 73.63, 66.81 degrees
Element x y z (fractional)
1 Re 0.8155 0.7876 0.4409
2 S 0.4376 0.5027 0.4410
3 Cl 0.7879 0.6779 0.7329
4 Cl 0.0553 0.7647 0.1490


6.
Density functional theory data (PBE) for ReSCl2 after structural relaxation.

Results
Size of the total moment in μB per atom: 0.0751
ΔE_f (raw) in meV/atom: 460
SG: R-3m

Cell lengths 12.4034, 12.4034, 12.4034 Å; angles 13.34, 13.34, 13.34 degrees
Last column: magnetic moment on the atom in μB.
Element x y z (fractional)
1 Re 0.0000 0.0000 0.0000  -0.01
2 S 0.5000 0.5000 0.5000  0.19
3 Cl 0.9395 0.9395 0.9395  0.01
4 Cl 0.0605 0.0605 0.0605  0.01


7.
Density functional theory data (PBE) for ReS2Cl6 after structural relaxation.

Results
Size of the total moment in μB per atom: 0.3385
ΔE_f (raw) in meV/atom: -330
SG: R3

Cell lengths 6.8876, 6.8876, 8.9390 Å; angles 67.34, 67.34, 60.00 degrees
Last column: magnetic moment on the atom in μB.
Element x y z (fractional)
1 Re 0.6381 0.6381 0.0857  1.30
2 S 0.3929 0.3929 0.8212  0.36
3 S 0.4705 0.4705 0.5884  0.39
4 Cl 0.5056 0.3545 0.2508  0.05
5 Cl 0.3545 0.8891 0.2508  0.05
6 Cl 0.8891 0.5056 0.2508  0.05
7 Cl 0.3871 0.7805 0.9164  0.03
8 Cl 0.7805 0.9159 0.9164  0.03
9 Cl 0.9159 0.3871 0.9164  0.03


8.
Density functional theory data (PBE) for ReSCl3 after structural relaxation.

Results
Size of the total moment in μB per atom: 0.4013
ΔE_f (raw) in meV/atom: -395
SG: Ima2

Cell lengths 7.2790, 7.3677, 7.3677 Å; angles 69.02, 60.40, 60.40 degrees
Last column: magnetic moment on the atom in μB.
Element x y z (fractional)
1 Re 0.0614 0.9948 0.4948  1.42
2 Re 0.5510 0.0052 0.5052  1.42
3 S 0.5947 0.1665 0.6665  0.07
4 S 0.4278 0.8335 0.3335  0.07
5 Cl 0.5563 0.6948 0.7320  0.08
6 Cl 0.5563 0.2320 0.1948  0.08
7 Cl 0.9831 0.7680 0.8052  0.08
8 Cl 0.1346 0.1668 0.6668  0.03
9 Cl 0.9831 0.3052 0.2680  0.08
10 Cl 0.9682 0.8332 0.3332  0.03


9.
Density functional theory data (PBE) for ReSCl2 after structural relaxation.

Results
Size of the total moment in μB per atom: 0.0000
ΔE_f (raw) in meV/atom: -12
SG: I-42d

Cell lengths 8.8737, 8.8737, 6.6606 Å; angles 48.23, 48.23, 90.00 degrees
Element x y z (fractional)
1 Re 0.0000 0.0000 0.0000
2 Re 0.7500 0.2500 0.5000
3 S 0.5000 0.5000 0.0000
4 S 0.2500 0.7500 0.5000
5 Cl 0.7684 0.1250 0.2500
6 Cl 0.9816 0.6250 0.2500
7 Cl 0.3750 0.2316 0.7500
8 Cl 0.8750 0.0184 0.7500


10.
Density functional theory data (PBE) for ReSCl2 after structural relaxation.

Results
Size of the total moment in μB per atom: 0.0000
ΔE_f (raw) in meV/atom: -389
SG: P-1

Cell lengths 6.0655, 6.2316, 10.1170 Å; angles 88.81, 89.10, 89.87 degrees
Element x y z (fractional)
1 Re 0.0382 0.2452 0.6074
2 Re 0.9618 0.7548 0.3926
3 Re 0.5350 0.2576 0.8857
4 Re 0.4650 0.7424 0.1143
5 S 0.1515 0.6458 0.2125
6 S 0.8485 0.3542 0.7875
7 S 0.6779 0.8310 0.2728
8 S 0.3221 0.1690 0.7272
9 Cl 0.7220 0.9228 0.9410
10 Cl 0.2780 0.0772 0.0590
11 Cl 0.2271 0.5811 0.5456
12 Cl 0.7729 0.4189 0.4544
13 Cl 0.6753 0.4150 0.0956
14 Cl 0.3247 0.5850 0.9044
15 Cl 0.1831 0.0743 0.4006
16 Cl 0.8169 0.9257 0.5994


11.
Density functional theory data (PBE) for ReSCl3 after structural relaxation.

Results
Size of the total moment in μB per atom: 0.0000
ΔE_f (raw) in meV/atom: -327
SG: Pmn2_1

Cell lengths 5.5500, 6.6137, 6.7306 Å; angles 89.99, 90.01, 89.99 degrees
Element x y z (fractional)
1 Re 0.1859 0.6547 0.7009
2 Re 0.6859 0.6981 0.2009
3 S 0.4147 0.4012 0.7009
4 S 0.9147 0.9516 0.2008
5 Cl 0.4676 0.3859 0.2005
6 Cl 0.4049 0.8339 0.9633
7 Cl 0.9049 0.5188 0.4633
8 Cl 0.9676 0.9668 0.7004
9 Cl 0.9049 0.5190 0.9384
10 Cl 0.4049 0.8338 0.4383


12.
Density functional theory data (PBE) for Re2SCl after structural relaxation.

Results
Size of the total moment in μB per atom: 0.0000
ΔE_f (raw) in meV/atom: 1068
SG: Fm-3m

Cell lengths 4.2734, 4.2734, 4.2734 Å; angles 60.00, 60.00, 60.00 degrees
Element x y z (fractional)
1 Re 0.2500 0.2500 0.2500
2 Re 0.7500 0.7500 0.7500
3 S 0.0000 0.0000 0.0000
4 Cl 0.5000 0.5000 0.5000


13.
Density functional theory data (PBE) for ReSCl3 after structural relaxation.

Results
Size of the total moment in μB per atom: 1.1728
ΔE_f (raw) in meV/atom: 1204
SG: Pm-3m

Cell lengths 4.9867, 4.9867, 4.9867 Å; angles 90.00, 90.00, 90.00 degrees
Last column: magnetic moment on the atom in μB.
Element x y z (fractional)
1 Re 0.5000 0.5000 0.5000  4.50
2 S 0.0000 0.0000 0.0000  -0.04
3 Cl 0.0000 0.5000 0.0000  0.09
4 Cl 0.0000 0.0000 0.5000  0.06
5 Cl 0.5000 0.0000 0.0000  0.06


14.
Density functional theory data (PBE) for ReSCl3 after structural relaxation.

Results
Size of the total moment in μB per atom: 0.1460
ΔE_f (raw) in meV/atom: 607
SG: Pm-3m

Cell lengths 4.7202, 4.7202, 4.7202 Å; angles 90.00, 90.00, 90.00 degrees
Last column: magnetic moment on the atom in μB.
Element x y z (fractional)
1 Re 0.0000 0.0000 0.0000  0.47
2 S 0.5000 0.5000 0.5000  0.06
3 Cl 0.0000 0.5000 0.0000  0.02
4 Cl 0.0000 0.0000 0.5000  0.01
5 Cl 0.5000 0.0000 0.0000  0.05


15.
Density functional theory data (PBE) for ReSbS2Cl after structural relaxation.

Results
Size of the total moment in μB per atom: 1.1013
ΔE_f (raw) in meV/atom: 1194
SG: P4/mmm

Cell lengths 5.1056, 5.1056, 5.1121 Å; angles 90.00, 90.00, 90.00 degrees
Last column: magnetic moment on the atom in μB.
Element x y z (fractional)
1 Re 0.5000 0.5000 0.5000  4.30
2 S 0.0000 0.5000 0.0000  0.04
3 S 0.5000 0.0000 0.0000  0.04
4 Cl 0.0000 0.0000 0.5000  0.04
5 Sb 0.0000 0.0000 0.0000  0.01


16.
Density functional theory data (PBE) for ReSbS2Cl after structural relaxation.

Results
Size of the total moment in μB per atom: 0.1649
ΔE_f (raw) in meV/atom: 351
SG: P4/mmm

Cell lengths 4.6242, 4.6242, 4.9250 Å; angles 90.00, 90.00, 90.00 degrees
Last column: magnetic moment on the atom in μB.
Element x y z (fractional)
1 Re 0.0000 0.0000 0.0000  0.30
2 S 0.0000 0.5000 0.0000  0.00
3 S 0.5000 0.0000 0.0000  0.00
4 Cl 0.0000 0.0000 0.5000  0.00
5 Sb 0.5000 0.5000 0.5000  0.20


17.
Density functional theory data (PBE) for ScReS2Cl after structural relaxation.

Results
Size of the total moment in μB per atom: 1.0012
ΔE_f (raw) in meV/atom: 233
SG: P4/mmm

Cell lengths 4.9855, 4.9855, 4.7689 Å; angles 90.00, 90.00, 90.00 degrees
Last column: magnetic moment on the atom in μB.
Element x y z (fractional)
1 Sc 0.0000 0.0000 0.0000  0.03
2 Re 0.5000 0.5000 0.5000  4.12
3 S 0.0000 0.5000 0.0000  -0.04
4 S 0.5000 0.0000 0.0000  -0.04
5 Cl 0.0000 0.0000 0.5000  0.05


18.
Density functional theory data (PBE) for ScReSCl2 after structural relaxation.

Results
Size of the total moment in μB per atom: 1.1947
ΔE_f (raw) in meV/atom: 0
SG: P4/mmm

Cell lengths 5.0346, 5.0346, 4.9910 Å; angles 90.00, 90.00, 90.00 degrees
Last column: magnetic moment on the atom in μB.
Element x y z (fractional)
1 Sc 0.0000 0.0000 0.0000  0.06
2 Re 0.5000 0.5000 0.5000  4.45
3 S 0.0000 0.0000 0.5000  0.10
4 Cl 0.0000 0.5000 0.0000  0.06
5 Cl 0.5000 0.0000 0.0000  0.06


19.
Density functional theory data (PBE) for ScReSCl2 after structural relaxation.

Results
Size of the total moment in μB per atom: 0.2673
ΔE_f (raw) in meV/atom: 93
SG: P4/mmm

Cell lengths 4.9333, 4.9333, 4.4952 Å; angles 90.00, 90.00, 90.00 degrees
Last column: magnetic moment on the atom in μB.
Element x y z (fractional)
1 Sc 0.5000 0.5000 0.5000  0.95
2 Re 0.0000 0.0000 0.0000  0.05
3 S 0.0000 0.0000 0.5000  0.00
4 Cl 0.0000 0.5000 0.0000  -0.01
5 Cl 0.5000 0.0000 0.0000  -0.01


20.
Density functional theory data (PBE) for ScReS2Cl after structural relaxation.

Results
Size of the total moment in μB per atom: 0.1852
ΔE_f (raw) in meV/atom: -22
SG: P4/mmm

Cell lengths 4.6173, 4.6173, 4.8624 Å; angles 90.00, 90.00, 90.00 degrees
Last column: magnetic moment on the atom in μB.
Element x y z (fractional)
1 Sc 0.5000 0.5000 0.5000  0.56
2 Re 0.0000 0.0000 0.0000  0.18
3 S 0.0000 0.5000 0.0000  -0.01
4 S 0.5000 0.0000 0.0000  -0.01
5 Cl 0.0000 0.0000 0.5000  -0.01